Density functional theory data (PBE) for crystalline RbBiSbPb2 at its relaxed geometry.

- calculated volume (Å³/cell) = 419
- symmetry = P2_1/m
- E (eV per atom) = -3.407
- raw formation energy (meV/atom) = -129
- magnetic moment (Bohr magnetons per cell) = 0.00

```
RbBiSbPb2
1.0
8.010 0.000 0.000
0.000 4.827 0.000
-3.594 0.000 10.825
Rb Bi Sb Pb
2 2 2 4
direct
0.228 0.250 0.291
0.772 0.750 0.709
0.188 0.250 0.943
0.812 0.750 0.057
0.287 0.750 0.573
0.713 0.250 0.427
0.097 0.250 0.637
0.393 0.750 0.872
0.607 0.250 0.128
0.903 0.750 0.363
```